(1)
# Ac8Ge4Se3Br

A geometry-optimized Ac8Ge4Se3Br structure (PBE-GGA, the Alexandria database).

Cell lengths 9.1879, 9.1295, 9.1884 Å; angles 120.22, 120.00, 90.00 degrees
Atoms (fractional coordinates):
1 Ac 0.7409 0.2321 0.9912
2 Se 0.5000 0.5000 0.5000
3 Ge 0.5000 0.0000 0.0000
4 Ac 0.2591 0.7679 0.0088
5 Br 0.0000 0.5000 0.0000
6 Ac 0.7408 0.2321 0.4817
7 Ge 0.0000 0.0000 0.0000
8 Ac 0.2463 0.2387 0.4925
9 Ge 0.5000 0.0000 0.5000
10 Ac 0.2504 0.2321 0.9912
11 Ac 0.2592 0.7679 0.5183
12 Se 0.0000 0.5000 0.5000
13 Ac 0.7537 0.7613 0.5075
14 Se 0.5000 0.5000 0.0000
15 Ac 0.7496 0.7679 0.0088
16 Ge 0.0000 0.0000 0.5000

Properties
N(E_F) in states/eV/cell: 3.8
Total moment in μB per cell: 0.0
Formation energy from raw total energies in eV per atom: -1.32
E in eV/atom: -5.283

***

(2)
# AcNd12Sm7

A geometry-optimized AcNd12Sm7 structure (PBE-GGA, the Alexandria database).

Cell lengths 8.9284, 8.9284, 8.9284 Å; angles 89.61, 89.61, 89.61 degrees
Atoms (fractional coordinates):
1 Sm 0.6124 0.9405 0.8413
2 Nd 0.6259 0.1459 0.5037
3 Sm 0.9405 0.8413 0.6124
4 Nd 0.5037 0.6259 0.1459
5 Nd 0.2682 0.1281 0.7149
6 Sm 0.8413 0.6124 0.9405
7 Nd 0.8719 0.2851 0.7318
8 Sm 0.1587 0.3876 0.0595
9 Nd 0.1459 0.5037 0.6259
10 Nd 0.4963 0.3741 0.8541
11 Nd 0.7318 0.8719 0.2851
12 Nd 0.8541 0.4963 0.3741
13 Nd 0.3741 0.8541 0.4963
14 Sm 0.3876 0.0595 0.1587
15 Nd 0.7149 0.2682 0.1281
16 Sm 0.5000 0.5000 0.5000
17 Nd 0.1281 0.7149 0.2682
18 Sm 0.0595 0.1587 0.3876
19 Ac 0.0000 0.0000 0.0000
20 Nd 0.2851 0.7318 0.8719

Properties
DFT formation energy in kJ/mol of formula units: 400
N(E_F) in states/eV/cell: 34.1
Total moment in μB per cell: 0.0
E in eV/atom: -4.511
Energy above the lowest structure with this stoichiometry in meV per atom: 0

***

(3)
# RbAs

A geometry-optimized RbAs structure (PBE-GGA, the Alexandria database).

Cell lengths 10.2535, 10.2535, 10.2535 Å; angles 90.00, 90.00, 90.00 degrees
Site moments in Bohr magnetons follow the coordinates.
Atoms (fractional coordinates):
1 As 0.4098 0.4098 0.5902  0.15
2 Rb 0.7877 0.7877 0.7877  0.01
3 As 0.5902 0.5902 0.5902  0.15
4 Rb 0.2123 0.2123 0.7877  0.01
5 As 0.9098 0.0902 0.9098  0.15
6 Rb 0.2877 0.2877 0.2877  0.01
7 Rb 0.7877 0.2123 0.2123  0.01
8 As 0.5902 0.4098 0.4098  0.15
9 Rb 0.2123 0.7877 0.2123  0.01
10 As 0.4098 0.5902 0.4098  0.15
11 Rb 0.7123 0.2877 0.7123  0.01
12 As 0.0902 0.0902 0.0902  0.15
13 Rb 0.7123 0.7123 0.2877  0.01
14 Rb 0.2877 0.7123 0.7123  0.01
15 As 0.9098 0.9098 0.0902  0.15
16 As 0.0902 0.9098 0.9098  0.15

Properties
DFT formation energy in kJ/mol of formula units: 6
N(E_F) in states/eV/cell: 26.1
Total moment in μB per cell: 3.6
E in eV/atom: -2.779
Energy above the lowest structure with this stoichiometry in meV per atom: 462

***

(4)
# TmZrS

A geometry-optimized TmZrS structure (PBE-GGA, the Alexandria database).

Cell lengths 3.6398, 3.6398, 6.1945 Å; angles 72.91, 72.91, 60.00 degrees
Site moments in Bohr magnetons follow the coordinates.
Atoms (fractional coordinates):
1 S 0.3613 0.3613 0.9161  0.00
2 Tm 0.6014 0.6014 0.1956  0.04
3 Zr 0.1108 0.1108 0.6677  0.06

Properties
N(E_F) in states/eV/cell: 3.2
Total moment in μB per cell: 0.2
Formation energy from raw total energies in eV per atom: -1.09
E in eV/atom: -6.801
Energy above the lowest structure with this stoichiometry in meV per atom: 171

***

(5)
# Sm2Y3Pt2

A geometry-optimized Sm2Y3Pt2 structure (PBE-GGA, the Alexandria database).

Cell lengths 3.7726, 6.5038, 8.6966 Å; angles 72.51, 77.47, 73.14 degrees
Atoms (fractional coordinates):
1 Sm 0.1645 0.4827 0.1883
2 Y 0.6149 0.2039 0.5664
3 Pt 0.1720 0.8955 0.7605
4 Sm 0.8355 0.5173 0.8117
5 Y 0.3851 0.7961 0.4336
6 Pt 0.8280 0.1045 0.2395
7 Y 0.5000 0.0000 0.0000

Properties
DFT formation energy in kJ/mol of formula units: -517
N(E_F) in states/eV/cell: 8.3
Total moment in μB per cell: 0.0
E in eV/atom: -6.610

***

(6)
# Li2MgZnBr6

A geometry-optimized Li2MgZnBr6 structure (PBE-GGA, the Alexandria database).

Cell lengths 6.7739, 6.7722, 7.2803 Å; angles 62.27, 62.25, 59.98 degrees
Atoms (fractional coordinates):
1 Br 0.0995 0.4241 0.7536
2 Br 0.7227 0.0997 0.7537
3 Br 0.5956 0.2276 0.2489
4 Zn 0.3183 0.3179 0.0460
5 Li 0.0147 0.0148 0.9560
6 Mg 0.8215 0.8215 0.5352
7 Br 0.2278 0.9279 0.2489
8 Br 0.4238 0.7228 0.7537
9 Li 0.5098 0.5099 0.4703
10 Br 0.9280 0.5954 0.2488

Properties
N(E_F) in states/eV/cell: 0.0
Total moment in μB per cell: 0.0
Formation energy from raw total energies in eV per atom: -1.24
E in eV/atom: -2.916

***

(7)
# CsTe3H

A geometry-optimized CsTe3H structure (PBE-GGA, the Alexandria database).

Cell lengths 5.1694, 5.1694, 5.1694 Å; angles 90.00, 90.00, 90.00 degrees
Atoms (fractional coordinates):
1 Te 0.0000 0.5000 0.0000
2 H 0.0000 0.0000 0.0000
3 Te 0.0000 0.0000 0.5000
4 Cs 0.5000 0.5000 0.5000
5 Te 0.5000 0.0000 0.0000

Properties
N(E_F) in states/eV/cell: 3.1
Total moment in μB per cell: 0.0
E in eV/atom: -2.521
Energy above the lowest structure with this stoichiometry in meV per atom: 133

***

(8)
# KCeIn2I8

A geometry-optimized KCeIn2I8 structure (PBE-GGA, the Alexandria database).

Cell lengths 7.7423, 7.3149, 9.9109 Å; angles 89.94, 89.97, 89.89 degrees
Site moments in Bohr magnetons follow the coordinates.
Atoms (fractional coordinates):
1 Ce 0.0000 0.0000 0.0000  0.44
2 I 0.1550 0.7532 0.2204  -0.01
3 In 0.4999 0.5002 0.2547  0.01
4 I 0.1557 0.7539 0.7798  -0.01
5 I 0.6393 0.7180 0.4998  0.01
6 In 0.5001 0.4998 0.7453  0.01
7 I 0.3607 0.2820 0.5002  0.01
8 K 0.0000 0.0000 0.5000  0.00
9 I 0.8450 0.2468 0.7796  -0.01
10 I 0.3251 0.2477 0.0002  -0.01
11 I 0.6749 0.7523 0.9998  -0.01
12 I 0.8443 0.2461 0.2202  -0.01

Properties
N(E_F) in states/eV/cell: 8.2
Total moment in μB per cell: 0.5
Formation energy from raw total energies in eV per atom: -0.87
E in eV/atom: -2.949